The following is a GGA+U calculation of a geometry-optimized NbVN2F structure, from Alexandria via LeMat-Bulk.

## Properties
Fermi-level density of states in states/eV per cell: 4.81
Uncorrected energy in eV/cell: -36.51
Spin magnetization in μB per formula unit: 1.25
Distance to the lowest polymorph of the same formula in meV per atom: 4
SG: P4/mmm, No. 123

abc: 4.1019 4.1019 4.0472
angles: 90.00 90.00 90.00
Atoms (fractional coordinates):
Nb (0.0000, 0.0000, 0.0000)
V (0.5000, 0.5000, 0.5000)
N (0.0000, 0.5000, 0.0000)
N (0.5000, 0.0000, 0.0000)
F (0.0000, 0.0000, 0.5000)